DFT (GGA-PBE) results for a relaxed structure of CaZrAl3.

Cell and atoms, written as POSCAR:
```
CaZrAl3
1.0
5.0445 0.0000 0.0000
0.0000 5.0445 0.0000
0.0000 0.0000 5.0445
Ca Zr Al
1 1 3
Direct
0.0000 0.0000 0.0000
0.5000 0.5000 0.5000
0.0000 0.0000 0.5000
0.0000 0.5000 0.0000
0.5000 0.0000 0.0000
```

Computed properties:
volume: 25.67 A^3/atom
calculated formation energy: 1.23 eV/atom
distance to the lowest polymorph of the same formula: 840 meV per atom